LaZn | Alexandria | meta-GGA SCAN | single point on PBEsol structure; calculated volume = 25.83 Å³/atom; DFT total energy = -229.257 eV per cell; formation energy from the elements = -0.35 eV/atom
1.0
4.3731 0.0000 0.0000
0.0000 5.4518 0.0000
0.0000 0.0000 8.6685
Zn La
4 4
direct
0.2500 0.8988 0.5229
0.7500 0.3988 0.9771
0.7500 0.1012 0.4771
0.2500 0.6012 0.0229
0.7500 0.5890 0.3196
0.2500 0.0890 0.1804
0.7500 0.9110 0.8196
0.2500 0.4110 0.6804